(1)
# GGA-PBE CaHg2Mo, relaxed
# energy relative to the lowest polymorph listed for this composition: 0.1434 eV per atom
# energy relative to the elements: 0.41 eV/atom
data_CaHg2Mo
_symmetry_space_group_name_H-M 'P 1'
_symmetry_Int_Tables_number 1
_cell_length_a 3.797
_cell_length_b 3.797
_cell_length_c 6.347
_cell_angle_alpha 90.00
_cell_angle_beta 90.00
_cell_angle_gamma 90.00
loop_
_symmetry_equiv_pos_as_xyz
'x,y,z'
loop_
_atom_site_label
_atom_site_type_symbol
_atom_site_fract_x
_atom_site_fract_y
_atom_site_fract_z
Ca1 Ca 0.500 0.500 0.752
Hg1 Hg 0.500 0.500 0.279
Hg2 Hg 0.000 0.000 0.004
Mo1 Mo 0.000 0.000 0.465

=====

(2)
# GGA-PBE Ca2HgMo, relaxed
# energy relative to the elements: 0.48 eV/atom
data_Ca2HgMo
_symmetry_space_group_name_H-M 'P 1'
_symmetry_Int_Tables_number 1
_cell_length_a 5.730
_cell_length_b 5.730
_cell_length_c 5.730
_cell_angle_alpha 132.60
_cell_angle_beta 132.60
_cell_angle_gamma 69.29
loop_
_symmetry_equiv_pos_as_xyz
'x,y,z'
loop_
_atom_site_label
_atom_site_type_symbol
_atom_site_fract_x
_atom_site_fract_y
_atom_site_fract_z
Hg1 Hg 0.500 0.500 0.000
Ca1 Ca 0.250 0.750 0.500
Ca2 Ca 0.000 0.000 0.000
Mo1 Mo 0.750 0.250 0.500

=====

(3)
# GGA-PBE CaHg2MoPd, relaxed
# energy relative to the elements: 1.66 eV/atom
data_CaHg2MoPd
_symmetry_space_group_name_H-M 'P 1'
_symmetry_Int_Tables_number 1
_cell_length_a 5.341
_cell_length_b 4.782
_cell_length_c 5.341
_cell_angle_alpha 90.00
_cell_angle_beta 90.00
_cell_angle_gamma 90.00
loop_
_symmetry_equiv_pos_as_xyz
'x,y,z'
loop_
_atom_site_label
_atom_site_type_symbol
_atom_site_fract_x
_atom_site_fract_y
_atom_site_fract_z
Pd1 Pd 0.500 0.500 0.500
Hg1 Hg 0.000 0.000 0.500
Mo1 Mo 0.000 0.500 0.000
Ca1 Ca 0.000 0.000 0.000
Hg2 Hg 0.500 0.000 0.000

=====

(4)
# GGA-PBE CaReHgMo2, relaxed
# energy relative to the elements: 2.86 eV/atom
data_CaReHgMo2
_symmetry_space_group_name_H-M 'P 1'
_symmetry_Int_Tables_number 1
_cell_length_a 4.504
_cell_length_b 4.504
_cell_length_c 5.019
_cell_angle_alpha 90.00
_cell_angle_beta 90.00
_cell_angle_gamma 90.00
loop_
_symmetry_equiv_pos_as_xyz
'x,y,z'
loop_
_atom_site_label
_atom_site_type_symbol
_atom_site_fract_x
_atom_site_fract_y
_atom_site_fract_z
Re1 Re 0.500 0.500 0.500
Mo1 Mo 0.500 0.000 0.000
Mo2 Mo 0.000 0.500 0.000
Ca1 Ca 0.000 0.000 0.000
Hg1 Hg 0.000 0.000 0.500

=====

(5)
# GGA-PBE Ca2HgMoS, relaxed
# formation energy (no corrections): 0.3 kJ/mol of atoms
data_Ca2HgMoS
_symmetry_space_group_name_H-M 'P 1'
_symmetry_Int_Tables_number 1
_cell_length_a 5.699
_cell_length_b 4.525
_cell_length_c 5.699
_cell_angle_alpha 90.00
_cell_angle_beta 90.00
_cell_angle_gamma 90.00
loop_
_symmetry_equiv_pos_as_xyz
'x,y,z'
loop_
_atom_site_label
_atom_site_type_symbol
_atom_site_fract_x
_atom_site_fract_y
_atom_site_fract_z
Ca1 Ca 0.000 0.000 0.500
Mo1 Mo 0.000 0.000 0.000
Ca2 Ca 0.500 0.000 0.000
Hg1 Hg 0.500 0.500 0.500
S1 S 0.000 0.500 0.000

=====

(6)
# GGA-PBE CaHg2MoS, relaxed
# formation energy (no corrections): 132.8 kJ/mol of atoms
data_CaHg2MoS
_symmetry_space_group_name_H-M 'P 1'
_symmetry_Int_Tables_number 1
_cell_length_a 5.619
_cell_length_b 5.836
_cell_length_c 5.619
_cell_angle_alpha 90.00
_cell_angle_beta 90.00
_cell_angle_gamma 90.00
loop_
_symmetry_equiv_pos_as_xyz
'x,y,z'
loop_
_atom_site_label
_atom_site_type_symbol
_atom_site_fract_x
_atom_site_fract_y
_atom_site_fract_z
Hg1 Hg 0.500 0.000 0.000
Ca1 Ca 0.000 0.000 0.000
Mo1 Mo 0.000 0.500 0.000
S1 S 0.500 0.500 0.500
Hg2 Hg 0.000 0.000 0.500

=====

(7)
# GGA-PBE CaHgSb2Mo, relaxed
# formation energy (no corrections): 104.4 kJ/mol of atoms
data_CaHgSb2Mo
_symmetry_space_group_name_H-M 'P 1'
_symmetry_Int_Tables_number 1
_cell_length_a 5.575
_cell_length_b 5.450
_cell_length_c 5.575
_cell_angle_alpha 90.00
_cell_angle_beta 90.00
_cell_angle_gamma 90.00
loop_
_symmetry_equiv_pos_as_xyz
'x,y,z'
loop_
_atom_site_label
_atom_site_type_symbol
_atom_site_fract_x
_atom_site_fract_y
_atom_site_fract_z
Ca1 Ca 0.000 0.500 0.000
Mo1 Mo 0.500 0.500 0.500
Hg1 Hg 0.000 0.000 0.000
Sb1 Sb 0.500 0.000 0.000
Sb2 Sb 0.000 0.000 0.500

=====

(8)
# GGA-PBE CaTlHg2Mo, relaxed
# energy relative to the elements: 1.12 eV/atom
data_CaTlHg2Mo
_symmetry_space_group_name_H-M 'P 1'
_symmetry_Int_Tables_number 1
_cell_length_a 5.566
_cell_length_b 6.018
_cell_length_c 5.566
_cell_angle_alpha 90.00
_cell_angle_beta 90.00
_cell_angle_gamma 90.00
loop_
_symmetry_equiv_pos_as_xyz
'x,y,z'
loop_
_atom_site_label
_atom_site_type_symbol
_atom_site_fract_x
_atom_site_fract_y
_atom_site_fract_z
Mo1 Mo 0.500 0.500 0.500
Hg1 Hg 0.000 0.000 0.500
Hg2 Hg 0.500 0.000 0.000
Tl1 Tl 0.000 0.000 0.000
Ca1 Ca 0.000 0.500 0.000

=====

| no. | total magnetic moment (μB per atom) |
| --- | --- |
| 1 | 0.485 |
| 2 | 0.686 |
| 3 | 0.000 |
| 4 | 0.000 |
| 5 | 0.177 |
| 6 | 0.879 |
| 7 | 0.871 |
| 8 | 1.025 |